! Cd2WO2 PBE+U optimized geometry; values from VASP
! - calculated total energy (eV/atom) = -3.31
! - symmetry = No. 127
! - total magnetization (μB per formula unit) = 3.91
&SYSTEM
  ibrav = 0, nat = 10, ntyp = 3
/
ATOMIC_SPECIES
Cd 112.41 Cd.upf
W 183.84 W.upf
O 16.00 O.upf
ATOMIC_POSITIONS angstrom
Cd 0.9754 2.6927 0.0000
Cd 2.6927 6.3607 0.0000
Cd 4.6434 0.9754 0.0000
Cd 6.3607 4.6434 0.0000
W 0.0000 0.0000 0.0000
W 3.6680 3.6680 0.0000
O 1.1053 4.7733 1.5144
O 2.5628 1.1053 1.5144
O 4.7733 6.2308 1.5144
O 6.2308 2.5628 1.5144
CELL_PARAMETERS angstrom
7.3361 0.0000 0.0000
0.0000 7.3361 0.0000
0.0000 0.0000 3.0288